## DyPuTl (GGA-PBE)

Data for a relaxed DyPuTl crystal.

Computed properties:
The space group is No. 216. As for the offset from the most stable computed form: 0 meV per atom. The calculation puts the magnetization at 6.48 μB per formula unit.

a = 5.218 Å, b = 5.218 Å, c = 5.218 Å
α = 60.00°, β = 60.00°, γ = 60.00°
Atoms (fractional coordinates):
Dy (0.250, 0.250, 0.250)
Pu (0.750, 0.750, 0.750)
Tl (0.000, 0.000, 0.000)

***

## DyTmPu (GGA-PBE)

Data for a relaxed DyTmPu crystal.

Computed properties:
The space group is No. 216. As for the offset from the most stable computed form: 0 meV per atom. As for the energy of formation from the pure elements: 0.813 eV/atom. The calculation puts the magnetization at 6.92 μB per formula unit.

a = 5.314 Å, b = 5.314 Å, c = 5.314 Å
α = 60.00°, β = 60.00°, γ = 60.00°
Atoms (fractional coordinates):
Dy (0.000, 0.000, 0.000)
Pu (0.250, 0.250, 0.250)
Tm (0.500, 0.500, 0.500)

***

## DyPuZr (GGA-PBE)

Data for a relaxed DyPuZr crystal.

Computed properties:
The space group is No. 216. As for the offset from the most stable computed form: 0 meV per atom. As for the energy of formation from the pure elements: 0.927 eV/atom. The calculation puts the magnetization at 7.25 μB per formula unit.

a = 4.932 Å, b = 4.932 Å, c = 4.932 Å
α = 60.00°, β = 60.00°, γ = 60.00°
Atoms (fractional coordinates):
Dy (0.750, 0.750, 0.750)
Pu (0.000, 0.000, 0.000)
Zr (0.250, 0.250, 0.250)

***

## RbDy2 (GGA-PBE)

Data for a relaxed RbDy2 crystal.

Computed properties:
The space group is No. 227. The calculation puts the magnetization at 3.01 μB per formula unit.

a = 11.162 Å, b = 11.162 Å, c = 11.162 Å
α = 60.00°, β = 60.00°, γ = 60.00°
Atoms (fractional coordinates):
Dy (0.375, 0.375, 0.375)
Dy (0.875, 0.375, 0.375)
Dy (0.375, 0.875, 0.375)
Dy (0.375, 0.375, 0.875)
Rb (0.250, 0.250, 0.250)
Rb (0.500, 0.500, 0.500)

***

## RbDy2 (GGA-PBE)

Data for a relaxed RbDy2 crystal.

Computed properties:
The space group is No. 227. The calculation puts the magnetization at 0.46 μB per formula unit.

a = 7.169 Å, b = 7.169 Å, c = 7.169 Å
α = 60.00°, β = 60.00°, γ = 60.00°
Atoms (fractional coordinates):
Dy (0.625, 0.625, 0.125)
Dy (0.625, 0.125, 0.625)
Dy (0.125, 0.625, 0.625)
Dy (0.625, 0.625, 0.625)
Rb (0.000, 0.000, 0.000)
Rb (0.250, 0.250, 0.250)

***

## RbDySeS (GGA-PBE)

Data for a relaxed RbDySeS crystal.

Computed properties:
The space group is No. 160. The calculation puts the magnetization at 0.01 μB per formula unit.

a = 8.197 Å, b = 8.197 Å, c = 8.197 Å
α = 29.38°, β = 29.38°, γ = 29.38°
Atoms (fractional coordinates):
Dy (0.497, 0.497, 0.497)
Rb (0.001, 0.001, 0.001)
S (0.770, 0.770, 0.770)
Se (0.232, 0.232, 0.232)

***

## RbDySnS3 (GGA-PBE)

Data for a relaxed RbDySnS3 crystal.

Computed properties:
The space group is No. 62. The calculation puts the magnetization at 0.00 μB per formula unit.

a = 15.442 Å, b = 4.043 Å, c = 11.907 Å
α = 90.00°, β = 90.00°, γ = 90.00°
Atoms (fractional coordinates):
Dy (0.003, 0.750, 0.142)
Dy (0.503, 0.750, 0.358)
Dy (0.497, 0.250, 0.642)
Dy (0.997, 0.250, 0.858)
Rb (0.266, 0.750, 0.098)
Rb (0.766, 0.750, 0.402)
Rb (0.234, 0.250, 0.598)
Rb (0.734, 0.250, 0.902)
S (0.096, 0.250, 0.044)
S (0.627, 0.750, 0.186)
S (0.419, 0.250, 0.235)
S (0.919, 0.250, 0.265)
S (0.127, 0.750, 0.314)
S (0.596, 0.250, 0.456)
S (0.404, 0.750, 0.544)
S (0.873, 0.250, 0.686)
S (0.081, 0.750, 0.735)
S (0.581, 0.750, 0.765)
S (0.373, 0.250, 0.814)
S (0.904, 0.750, 0.956)
Sn (0.543, 0.250, 0.095)
Sn (0.043, 0.250, 0.405)
Sn (0.957, 0.750, 0.595)
Sn (0.457, 0.750, 0.905)

***

## RbSrDyS3 (GGA-PBE)

Data for a relaxed RbSrDyS3 crystal.

Computed properties:
The space group is No. 12. The calculation puts the magnetization at 0.01 μB per formula unit.

a = 9.390 Å, b = 9.390 Å, c = 11.799 Å
α = 118.83°, β = 118.83°, γ = 25.07°
Atoms (fractional coordinates):
Dy (0.166, 0.166, 0.062)
Dy (0.834, 0.834, 0.938)
Rb (0.549, 0.549, 0.249)
Rb (0.451, 0.451, 0.751)
S (0.000, 0.000, 0.000)
S (0.343, 0.343, 0.115)
S (0.712, 0.712, 0.234)
S (0.500, 0.500, 0.500)
S (0.288, 0.288, 0.766)
S (0.657, 0.657, 0.885)
Sr (0.884, 0.884, 0.323)
Sr (0.116, 0.116, 0.677)

***

## RbDyTeS (GGA-PBE)

Data for a relaxed RbDyTeS crystal.

Computed properties:
The space group is No. 160. The calculation puts the magnetization at 0.00 μB per formula unit.

a = 8.518 Å, b = 8.518 Å, c = 8.518 Å
α = 29.07°, β = 29.07°, γ = 29.07°
Atoms (fractional coordinates):
Dy (0.491, 0.491, 0.491)
Rb (0.006, 0.006, 0.006)
S (0.769, 0.769, 0.769)
Te (0.233, 0.233, 0.233)

***

## RbDySc (GGA-PBE)

Data for a relaxed RbDySc crystal.

Computed properties:
The space group is No. 216. As for the offset from the most stable computed form: 0 meV per atom. The calculation puts the magnetization at 2.47 μB per formula unit.

a = 5.802 Å, b = 5.802 Å, c = 5.802 Å
α = 60.00°, β = 60.00°, γ = 60.00°
Atoms (fractional coordinates):
Dy (0.250, 0.250, 0.250)
Rb (0.750, 0.750, 0.750)
Sc (0.000, 0.000, 0.000)

***

## RbDyScSe3 (GGA-PBE)

Data for a relaxed RbDyScSe3 crystal.

Computed properties:
The space group is No. 63. The calculation puts the magnetization at 0.08 μB per formula unit.

a = 8.010 Å, b = 8.010 Å, c = 11.047 Å
α = 90.00°, β = 90.00°, γ = 149.00°
Atoms (fractional coordinates):
Dy (0.500, 0.500, 0.000)
Dy (0.500, 0.500, 0.500)
Rb (0.238, 0.762, 0.250)
Rb (0.762, 0.238, 0.750)
Sc (0.962, 0.038, 0.250)
Sc (0.038, 0.962, 0.750)
Se (0.875, 0.125, 0.053)
Se (0.559, 0.441, 0.250)
Se (0.875, 0.125, 0.447)
Se (0.125, 0.875, 0.553)
Se (0.441, 0.559, 0.750)
Se (0.125, 0.875, 0.947)

***

## RbDySe4 (GGA-PBE)

Data for a relaxed RbDySe4 crystal.

Computed properties:
The space group is No. 125. The calculation puts the magnetization at 0.00 μB per formula unit.

a = 6.281 Å, b = 6.281 Å, c = 8.675 Å
α = 90.00°, β = 90.00°, γ = 90.00°
Atoms (fractional coordinates):
Dy (0.000, 0.000, 0.500)
Dy (0.500, 0.500, 0.500)
Rb (0.000, 0.000, 0.000)
Rb (0.500, 0.500, 0.000)
Se (0.637, 0.137, 0.302)
Se (0.137, 0.363, 0.302)
Se (0.863, 0.637, 0.302)
Se (0.363, 0.863, 0.302)
Se (0.363, 0.137, 0.698)
Se (0.863, 0.363, 0.698)
Se (0.137, 0.637, 0.698)
Se (0.637, 0.863, 0.698)

***

Number 1: total energy -6.85 eV/atom. Number 2: total energy -6.92 eV/atom. Number 3: total energy -8.16 eV/atom. Number 4: total energy -0.65 eV/atom. Number 5: total energy -2.75 eV/atom. Number 6: total energy -5.09 eV/atom. Number 7: total energy -5.04 eV/atom. Number 8: total energy -5.07 eV/atom. Number 9: total energy -4.80 eV/atom. Number 10: total energy -2.70 eV/atom. Number 11: total energy -5.30 eV/atom. Number 12: total energy -4.41 eV/atom.